1.
CsZnSeN2 | PBE | optimized geometry

Computed properties:
As for the formation energy without anion corrections: 2.225 eV/atom. The value obtained for the calculated volume is 28.3 A^3/atom.

a b c (Å): 4.381 4.381 7.370
angles (deg): 90.00 90.00 90.00
Fractional coordinates of all 5 atoms:
Cs 0.000 0.000 0.000
Zn 0.500 0.500 0.500
Se 0.000 0.000 0.500
N 0.000 0.500 0.000
N 0.500 0.000 0.000

***

2.
Sm2HoTe3 | PBE | optimized geometry

Computed properties:
As for the formation energy without anion corrections: -1.338 eV/atom. The value obtained for the calculated volume is 30.3 A^3/atom.

a b c (Å): 7.629 7.629 7.629
angles (deg): 146.26 131.95 59.99
Fractional coordinates of all 6 atoms:
Sm 0.173 0.173 0.000
Sm 0.827 0.827 0.000
Ho 0.500 0.500 0.000
Te 0.000 0.500 0.500
Te 0.340 0.840 0.500
Te 0.660 0.160 0.500

***

3.
Co2HgB | PBE | optimized geometry

Computed properties:
The formation energy is 718.1 meV per atom. The value obtained for the calculated volume is 15.3 A^3/atom. The calculation puts the polymorph energy (0 for the lowest one) at 0.00 kJ per mole of atoms.

a b c (Å): 7.083 7.083 7.083
angles (deg): 143.89 143.89 51.99
Fractional coordinates of all 8 atoms:
Co 0.375 0.196 0.321
Co 0.804 0.125 0.179
Co 0.875 0.054 0.679
Co 0.946 0.625 0.821
Hg 0.250 0.750 0.500
Hg 0.500 0.500 0.000
B 0.000 0.000 0.000
B 0.750 0.250 0.500